No. 1
Computed, not measured: RbNa2Hf after structural relaxation at the PBE level of DFT.

The value obtained for the electronic total energy is -2.35 eV/atom. Its spin magnetization is 8.7 μB per cell. For the energy above the most stable polymorph in this dataset, the calculation gives 0.000 eV per atom. As for the formation energy: 401 kJ/mol of formula units.

The space group is Fm-3m (No. 225) and the conventional cell measures 8.4578, 8.4578 and 8.4578 Å, with angles of 90.00, 90.00 and 90.00 degrees. The asymmetric unit holds Rb at (0.0000, 0.0000, 0.0000), Na at (0.2500, 0.2500, 0.2500) and Hf at (0.0000, 0.0000, 0.5000).


No. 2
Computed, not measured: Rb3NaHf after structural relaxation at the PBE level of DFT.

The value obtained for the electronic total energy is -1.75 eV/atom. Its spin magnetization is 4.0 μB per cell. As for the formation energy: 524 kJ/mol of formula units.

The space group is Pm-3m (No. 221) and the conventional cell measures 7.1792, 7.1792 and 7.1792 Å, with angles of 90.00, 90.00 and 90.00 degrees. The asymmetric unit holds Rb at (0.0000, 0.0000, 0.5000), Na at (0.5000, 0.5000, 0.5000) and Hf at (0.0000, 0.0000, 0.0000).


No. 3
Computed, not measured: RbNa2HfRh after structural relaxation at the PBE level of DFT.

The value obtained for the electronic total energy is -2.39 eV/atom. Its spin magnetization is 0.0 μB per cell. As for the formation energy: 865 kJ/mol of formula units.

The space group is P4/mmm (No. 123) and the conventional cell measures 4.7998, 4.7998 and 5.9304 Å, with angles of 90.00, 90.00 and 90.00 degrees. The asymmetric unit holds Rb at (0.0000, 0.0000, 0.0000), Na at (0.0000, 0.5000, 0.0000), Hf at (0.0000, 0.0000, 0.5000) and Rh at (0.5000, 0.5000, 0.5000).


No. 4
Computed, not measured: RbNaHfS3 after structural relaxation at the PBE level of DFT.

The value obtained for the electronic total energy is -5.56 eV/atom. Its spin magnetization is 0.0 μB per cell. Its formation energy without anion corrections is -1458 meV per atom.

The space group is Cmcm (No. 63) and the conventional cell measures 7.2739, 13.7269 and 6.9173 Å, with angles of 90.00, 90.00 and 90.00 degrees. The asymmetric unit holds Rb at (0.0000, 0.2424, 0.2500), Na at (0.0000, 0.0754, 0.7500), Hf at (0.0000, 0.4460, 0.7500), S at (0.0000, 0.2752, 0.7500) and S at (0.2308, 0.5000, 0.0000).


No. 5
Computed, not measured: Rb2NaHf3Se8 after structural relaxation at the PBE level of DFT.

The value obtained for the electronic total energy is -5.54 eV/atom. Its spin magnetization is 0.0 μB per cell. Its formation energy without anion corrections is -1187 meV per atom.

The space group is R3m (No. 160, hexagonal axes) and the conventional cell measures 7.8745, 7.8745 and 25.2587 Å, with angles of 90.00, 90.00 and 120.00 degrees. The asymmetric unit holds Rb at (0.0000, 0.0000, 0.0000), Rb at (0.0000, 0.0000, 0.3510), Na at (0.0000, 0.0000, 0.7411), Hf at (0.0000, 0.5000, 0.8553), Se at (0.0000, 0.0000, 0.1284), Se at (0.0000, 0.0000, 0.5839), Se at (0.0264, 0.5132, 0.1271) and Se at (0.1736, 0.3472, 0.9115).


No. 6
Computed, not measured: RbNaHfSe3 after structural relaxation at the PBE level of DFT.

The value obtained for the electronic total energy is -5.08 eV/atom. Its spin magnetization is 0.0 μB per cell. Its formation energy without anion corrections is -1299 meV per atom.

The space group is Cmcm (No. 63) and the conventional cell measures 7.6232, 14.3566 and 7.2406 Å, with angles of 90.00, 90.00 and 90.00 degrees. The asymmetric unit holds Rb at (0.0000, 0.2482, 0.2500), Na at (0.0000, 0.4250, 0.7500), Hf at (0.0000, 0.0546, 0.7500), Se at (0.0000, 0.2267, 0.7500) and Se at (0.2324, 0.0000, 0.0000).


No. 7
Computed, not measured: RbNa2HfTe after structural relaxation at the PBE level of DFT.

The value obtained for the electronic total energy is -2.73 eV/atom. Its spin magnetization is 3.0 μB per cell. Its formation energy without anion corrections is 606 meV per atom.

The space group is P4/mmm (No. 123) and the conventional cell measures 5.8837, 5.8837 and 7.0126 Å, with angles of 90.00, 90.00 and 90.00 degrees. The asymmetric unit holds Rb at (0.0000, 0.0000, 0.0000), Na at (0.0000, 0.5000, 0.5000), Hf at (0.5000, 0.5000, 0.0000) and Te at (0.0000, 0.0000, 0.5000).


No. 8
Computed, not measured: Rb2NaHfV after structural relaxation at the PBE level of DFT.

The value obtained for the electronic total energy is -3.25 eV/atom. Its spin magnetization is 2.5 μB per cell. As for the formation energy: 584 kJ/mol of formula units.

The space group is P4/mmm (No. 123) and the conventional cell measures 6.9557, 6.9557 and 4.8300 Å, with angles of 90.00, 90.00 and 90.00 degrees. The asymmetric unit holds Rb at (0.0000, 0.5000, 0.0000), Na at (0.0000, 0.0000, 0.5000), Hf at (0.5000, 0.5000, 0.5000) and V at (0.5000, 0.5000, 0.0000).